# 1
# LiAlAu2 (PBE, relaxed)
# calculated formation energy = -541.4 meV per atom
# V = 62.8 Å³ per cell
data_LiAlAu2
_cell_length_a 4.425
_cell_length_b 4.425
_cell_length_c 3.208
_cell_angle_alpha 90.00
_cell_angle_beta 90.00
_cell_angle_gamma 90.00
_symmetry_space_group_name_H-M 'P 4/m m m'
_symmetry_Int_Tables_number 123
_symmetry_space_group_name_Hall '-P 4 2'
loop_
_atom_site_label
_atom_site_fract_x
_atom_site_fract_y
_atom_site_fract_z
Li1 0.000 0.000 0.000
Al1 0.500 0.500 0.000
Au1 0.000 0.500 0.500

# 2
# LiAl2Au (PBE, relaxed)
# calculated formation energy = -308.9 meV per atom
# V = 63.5 Å³ per cell
data_LiAl2Au
_cell_length_a 3.039
_cell_length_b 3.800
_cell_length_c 5.501
_cell_angle_alpha 90.00
_cell_angle_beta 90.00
_cell_angle_gamma 90.00
_symmetry_space_group_name_H-M 'P m m 2'
_symmetry_Int_Tables_number 25
loop_
_symmetry_equiv_pos_as_xyz
'x,y,z'
'-x,-y,z'
'-x,y,z'
'x,-y,z'
loop_
_atom_site_label
_atom_site_fract_x
_atom_site_fract_y
_atom_site_fract_z
Li1 0.000 0.000 0.000
Al1 0.000 0.000 0.508
Al2 0.500 0.500 0.244
Au1 0.500 0.500 0.754

# 3
# LiAl2Au5 (PBE, relaxed)
# calculated formation energy = -378.5 meV per atom
# E above lowest polymorph = 0.0000 eV/atom
# V = 538.9 Å³ per cell
data_LiAl2Au5
_cell_length_a 5.527
_cell_length_b 10.509
_cell_length_c 9.318
_cell_angle_alpha 90.00
_cell_angle_beta 95.22
_cell_angle_gamma 90.00
_symmetry_space_group_name_H-M 'C 1 2/c 1'
_symmetry_Int_Tables_number 15
loop_
_symmetry_equiv_pos_as_xyz
'x,y,z'
'-x,-y,-z'
'-x,y,-z+1/2'
'x,-y,z+1/2'
'x+1/2,y+1/2,z'
'-x+1/2,-y+1/2,-z'
'-x+1/2,y+1/2,-z+1/2'
'x+1/2,-y+1/2,z+1/2'
loop_
_atom_site_label
_atom_site_fract_x
_atom_site_fract_y
_atom_site_fract_z
Li1 0.000 0.011 0.250
Al1 0.150 0.383 0.500
Au1 0.000 0.492 0.750
Au2 0.161 0.115 0.997
Au3 0.246 0.243 0.723

# 4
# Li6AlAu2 (PBE, relaxed)
# calculated formation energy = -351.1 meV per atom
# E above lowest polymorph = 0.0000 eV/atom
# V = 291.4 Å³ per cell
data_Li6AlAu2
_cell_length_a 12.747
_cell_length_b 3.838
_cell_length_c 6.338
_cell_angle_alpha 90.00
_cell_angle_beta 109.96
_cell_angle_gamma 90.00
_symmetry_space_group_name_H-M 'C 1 2/m 1'
_symmetry_Int_Tables_number 12
loop_
_symmetry_equiv_pos_as_xyz
'x,y,z'
'-x,-y,-z'
'-x,y,-z'
'x,-y,z'
'x+1/2,y+1/2,z'
'-x+1/2,-y+1/2,-z'
'-x+1/2,y+1/2,-z'
'x+1/2,-y+1/2,z'
loop_
_atom_site_label
_atom_site_fract_x
_atom_site_fract_y
_atom_site_fract_z
Li1 0.098 0.000 0.150
Li2 0.157 0.500 0.495
Li3 0.220 0.000 0.840
Al1 0.000 0.000 0.500
Au1 0.062 0.500 0.824

# 5
# LiAlAu6 (PBE, relaxed)
# calculated formation energy = -265.6 meV per atom
# E above lowest polymorph = 0.0000 eV/atom
# V = 137.0 Å³ per cell
data_LiAlAu6
_cell_length_a 4.180
_cell_length_b 4.180
_cell_length_c 7.842
_cell_angle_alpha 90.00
_cell_angle_beta 90.00
_cell_angle_gamma 90.00
_symmetry_space_group_name_H-M 'P 4/m m m'
_symmetry_Int_Tables_number 123
_symmetry_space_group_name_Hall '-P 4 2'
loop_
_atom_site_label
_atom_site_fract_x
_atom_site_fract_y
_atom_site_fract_z
Li1 0.000 0.000 0.000
Al1 0.000 0.000 0.500
Au1 0.000 0.500 0.251
Au2 0.500 0.500 0.000
Au3 0.500 0.500 0.500

# 6
# LiAl2Au (PBE, relaxed)
# calculated formation energy = -264.1 meV per atom
# V = 65.8 Å³ per cell
data_LiAl2Au
_cell_length_a 2.953
_cell_length_b 4.526
_cell_length_c 4.921
_cell_angle_alpha 90.00
_cell_angle_beta 90.70
_cell_angle_gamma 90.00
_symmetry_space_group_name_H-M 'P 1 2/m 1'
_symmetry_Int_Tables_number 10
loop_
_symmetry_equiv_pos_as_xyz
'x,y,z'
'-x,-y,-z'
'-x,y,-z'
'x,-y,z'
loop_
_atom_site_label
_atom_site_fract_x
_atom_site_fract_y
_atom_site_fract_z
Li1 0.000 0.000 0.000
Al1 0.293 0.500 0.755
Au1 0.500 0.000 0.500

# 7
# LiAlAu2 (PBE, relaxed)
# calculated formation energy = -347.4 meV per atom
# V = 135.0 Å³ per cell
data_LiAlAu2
_cell_length_a 8.294
_cell_length_b 2.804
_cell_length_c 5.866
_cell_angle_alpha 90.00
_cell_angle_beta 98.26
_cell_angle_gamma 90.00
_symmetry_space_group_name_H-M 'C 1 2/m 1'
_symmetry_Int_Tables_number 12
loop_
_symmetry_equiv_pos_as_xyz
'x,y,z'
'-x,-y,-z'
'-x,y,-z'
'x,-y,z'
'x+1/2,y+1/2,z'
'-x+1/2,-y+1/2,-z'
'-x+1/2,y+1/2,-z'
'x+1/2,-y+1/2,z'
loop_
_atom_site_label
_atom_site_fract_x
_atom_site_fract_y
_atom_site_fract_z
Li1 0.000 0.000 0.000
Al1 0.000 0.500 0.500
Au1 0.237 0.000 0.753

# 8
# Li6AlAu (PBE, relaxed)
# calculated formation energy = -239.7 meV per atom
# V = 267.1 Å³ per cell
data_Li6AlAu
_cell_length_a 4.430
_cell_length_b 7.665
_cell_length_c 7.865
_cell_angle_alpha 90.00
_cell_angle_beta 90.00
_cell_angle_gamma 90.00
_symmetry_space_group_name_H-M 'A m m 2'
_symmetry_Int_Tables_number 38
loop_
_symmetry_equiv_pos_as_xyz
'x,y,z'
'-x,-y,z'
'-x,y,z'
'x,-y,z'
'x,y+1/2,z+1/2'
'-x,-y+1/2,z+1/2'
'-x,y+1/2,z+1/2'
'x,-y+1/2,z+1/2'
loop_
_atom_site_label
_atom_site_fract_x
_atom_site_fract_y
_atom_site_fract_z
Li1 0.000 0.000 0.000
Li2 0.000 0.215 0.309
Li3 0.500 0.000 0.384
Li4 0.500 0.217 0.068
Al1 0.500 0.000 0.776
Au1 0.000 0.000 0.599

Record-wise Fermi-level density of states values, in states/eV/f.u.: 0.9, 1.3, 2.7, 3.3, 2.7, 0.7, 0.9, 3.2
Record-wise E values, in Ry per atom: -0.264, -0.256, -0.265, -0.204, -0.252, -0.252, -0.250, -0.188